Compound: LiCr2PbF8
Source: Alexandria
Functional: GGA+U
Structure: optimized geometry

abc: 5.0650 5.0659 6.6914
angles: 90.00 90.00 86.38
With the nearest neighbours (Å) after each atom.
Fractional positions:
F1 0.3200 0.3187 0.0000  2 Cr 2.06
Cr1 0.5000 0.5000 0.2340  6 F 1.97-2.15
F2 0.2153 0.7831 0.7810  1 Cr 1.97, 1 Li 2.10
F3 0.3388 0.3371 0.5000  2 Cr 2.14-2.15, 1 F 2.39
F4 0.7847 0.2169 0.2190  1 Cr 1.97, 1 Li 2.10
Pb1 0.0000 0.0000 0.5000  6 F 2.40-2.50
Cr2 0.5000 0.5000 0.7660  6 F 1.97-2.15
Li1 0.0000 0.0000 0.0000  4 F 2.10
F5 0.6800 0.6813 0.0000  2 Cr 2.06
F6 0.2153 0.7832 0.2190  1 Cr 1.97, 1 Li 2.10
F7 0.7847 0.2168 0.7810  1 Cr 1.97, 1 Li 2.10
F8 0.6612 0.6629 0.5000  2 Cr 2.14-2.15, 1 F 2.39

Results
DFT total energy, eV/cell: -66.69
Crystal system: monoclinic